1.
Mn2CoHPt (PBE-GGA, optimized geometry); energy relative to the lowest polymorph listed for this composition = 0.63 eV per formula unit; crystal system = tetragonal
1.0
-3.503 -1.026 -0.718
1.252 -2.837 -2.055
0.020 -2.218 3.075
H Mn Co Pt
1 2 1 1
Direct
0.000 0.000 0.000
0.000 0.500 0.000
0.500 0.000 0.000
0.500 0.500 0.500
0.000 0.000 0.500


2.
VGaCo2 (PBE-GGA, optimized geometry); formation energy = -0.04 eV per atom; crystal system = monoclinic
1.0
-1.847 1.901 -0.295
-2.510 -0.451 0.779
-2.628 4.266 7.711
V Ga Co
1 1 2
Direct
0.750 0.750 0.500
0.250 0.250 0.000
0.329 0.329 0.256
0.171 0.171 0.744


3.
ZrTi2VH (PBE-GGA, optimized geometry); energy relative to the lowest polymorph listed for this composition = 0.00 eV per formula unit; crystal system = tetragonal
1.0
-0.963 -3.415 1.800
-0.383 -1.762 -3.547
4.478 -1.203 0.114
H Ti Zr V
1 2 1 1
Direct
0.000 0.000 0.000
0.000 0.500 0.000
0.500 0.000 0.000
0.000 0.000 0.500
0.500 0.500 0.500


no.,theoretical density (kg/m³),raw total energy (eV per atom)
1,11546,-6.9065
2,8087,-6.6248
3,5402,-7.3465